Entry from Alexandria via LeMat-Bulk: a geometry-optimized LaHfO2 structure (PBE-GGA).

## Properties
Mass density = 10.556 Mg/m³
Density of states at the Fermi level = 7.10 states/eV/cell

Unit cell a=6.0354 b=6.0354 c=6.0354 alpha=90.00 beta=90.00 gamma=90.00
Space group Fm-3m (No. 225)
Asymmetric unit:
La 0.0000 0.0000 0.0000
Hf 0.0000 0.0000 0.5000
O 0.2500 0.2500 0.2500

=====

Entry from Alexandria via LeMat-Bulk: a geometry-optimized LaHfO2 structure (PBE-GGA).

## Properties
Mass density = 7.768 Mg/m³
Density of states at the Fermi level = 9.82 states/eV/cell

Unit cell a=5.1944 b=5.1944 c=11.0726 alpha=90.00 beta=90.00 gamma=90.00
Space group I-42d (No. 122)
Asymmetric unit:
La 0.0000 0.0000 0.0000
Hf 0.0000 0.0000 0.5000
O 0.1611 0.2500 0.6250

=====

| no. | formation energy (no corrections) (eV/f.u.) |
| --- | --- |
| 1 | -6.77 |
| 2 | -9.45 |